# 1
Ga3BiF: relaxed, PBE.

- M_tot: 0.00 μB/cell
- Distance to the lowest polymorph of the same formula: 698 meV per atom
- Formation energy (no corrections): 0.252 eV/atom
- Electronic total energy: -2.7150 eV/atom
- D(E_F): 5.6 states/eV/cell

CIF file:
```
data_Ga3BiF
_chemical_formula_sum 'Ga3 Bi1 F1'
_cell_length_a 5.783
_cell_length_b 5.783
_cell_length_c 5.783
_cell_angle_alpha 90.00
_cell_angle_beta 90.00
_cell_angle_gamma 90.00
_symmetry_space_group_name_H-M 'P m -3 m'
_symmetry_Int_Tables_number 221
_symmetry_space_group_name_Hall '-P 4 2 3'
loop_
_atom_site_label
_atom_site_type_symbol
_atom_site_fract_x
_atom_site_fract_y
_atom_site_fract_z
_atom_site_occupancy
Ga1 Ga 0.000 0.000 0.500 1
Bi1 Bi 0.000 0.000 0.000 1
F1 F 0.500 0.500 0.500 1
```

# 2
Ga3BiF: relaxed, PBE.

- M_tot: 0.00 μB/cell
- Distance to the lowest polymorph of the same formula: 0 meV per atom
- Formation energy (no corrections): -0.446 eV/atom
- Electronic total energy: -3.4127 eV/atom
- D(E_F): 2.7 states/eV/cell

CIF file:
```
data_Ga3BiF
_chemical_formula_sum 'Ga3 Bi1 F1'
_cell_length_a 4.805
_cell_length_b 4.805
_cell_length_c 4.805
_cell_angle_alpha 90.00
_cell_angle_beta 90.00
_cell_angle_gamma 90.00
_symmetry_space_group_name_H-M 'P m -3 m'
_symmetry_Int_Tables_number 221
_symmetry_space_group_name_Hall '-P 4 2 3'
loop_
_atom_site_label
_atom_site_type_symbol
_atom_site_fract_x
_atom_site_fract_y
_atom_site_fract_z
_atom_site_occupancy
Ga1 Ga 0.000 0.000 0.500 1
Bi1 Bi 0.500 0.500 0.500 1
F1 F 0.000 0.000 0.000 1
```

# 3
GaHg2BiF6: relaxed, PBE.

- M_tot: 0.00 μB/cell
- Formation energy (no corrections): -1.823 eV/atom
- Electronic total energy: -3.6973 eV/atom
- D(E_F): 0.0 states/eV/cell

CIF file:
```
data_GaHg2BiF6
_chemical_formula_sum 'Ga4 Hg8 Bi4 F24'
_cell_length_a 8.708
_cell_length_b 8.708
_cell_length_c 8.708
_cell_angle_alpha 90.00
_cell_angle_beta 90.00
_cell_angle_gamma 90.00
_symmetry_space_group_name_H-M 'F m -3 m'
_symmetry_Int_Tables_number 225
_symmetry_space_group_name_Hall '-F 4 2 3'
loop_
_atom_site_label
_atom_site_type_symbol
_atom_site_fract_x
_atom_site_fract_y
_atom_site_fract_z
_atom_site_occupancy
Ga1 Ga 0.000 0.000 0.000 1
Hg1 Hg 0.250 0.250 0.250 1
Bi1 Bi 0.000 0.000 0.500 1
F1 F 0.000 0.000 0.225 1
```

# 4
GaBiIr2F: relaxed, PBE.

- M_tot: 0.00 μB/cell
- Formation energy (no corrections): 0.593 eV/atom
- Electronic total energy: -4.7075 eV/atom
- D(E_F): 2.6 states/eV/cell

CIF file:
```
data_GaBiIr2F
_chemical_formula_sum 'Ga1 Bi1 Ir2 F1'
_cell_length_a 4.605
_cell_length_b 4.605
_cell_length_c 4.155
_cell_angle_alpha 90.00
_cell_angle_beta 90.00
_cell_angle_gamma 90.00
_symmetry_space_group_name_H-M 'P 4/m m m'
_symmetry_Int_Tables_number 123
_symmetry_space_group_name_Hall '-P 4 2'
loop_
_atom_site_label
_atom_site_type_symbol
_atom_site_fract_x
_atom_site_fract_y
_atom_site_fract_z
_atom_site_occupancy
Ga1 Ga 0.000 0.000 0.000 1
Bi1 Bi 0.500 0.500 0.000 1
Ir1 Ir 0.000 0.500 0.500 1
F1 F 0.000 0.000 0.500 1
```

> Number 2 is which compound?

Ga3BiF